Compound: ZrNbBi2
Source: Alexandria
Functional: PBE
Structure: optimized geometry

Structure (extended XYZ):
```
8
Lattice="-2.9823 2.9823 7.8484 2.9823 -2.9823 7.8484 2.9823 2.9823 -7.8484" Properties=species:S:1:pos:R:3 pbc="T T T"
Zr 0.0000 0.0000 0.0000
Zr 0.0000 2.9823 3.9242
Nb 2.9823 0.0000 3.9242
Nb 0.0000 0.0000 7.8484
Bi 1.4911 -1.4197 5.8863
Bi 1.5625 1.4911 1.9621
Bi 1.4911 4.4020 -1.9621
Bi 1.4197 1.4911 9.8105
```

Output
ΔH_f (0 K) = 823 meV/atom
DFT total energy = -5.7717 eV per atom
Offset from the most stable computed form = 311.5 kJ/mol of formula units
Spin magnetization = 2.91 μB/f.u.

***

Compound: Zr2Nb2Bi
Source: Alexandria
Functional: PBE
Structure: optimized geometry

Structure (extended XYZ):
```
10
Lattice="7.7839 0.0000 0.0000 0.0000 7.7839 0.0000 0.0000 0.0000 3.7045" Properties=species:S:1:pos:R:3 pbc="T T T"
Zr 1.4639 2.4280 0.0000
Zr 2.4280 6.3200 0.0000
Zr 5.3559 1.4639 0.0000
Zr 6.3200 5.3559 0.0000
Nb 0.8471 4.7390 1.8523
Nb 3.0449 0.8471 1.8523
Nb 4.7390 6.9368 1.8523
Nb 6.9368 3.0449 1.8523
Bi 0.0000 0.0000 1.8523
Bi 3.8920 3.8920 1.8523
```

Output
ΔH_f (0 K) = 135 meV/atom
DFT total energy = -8.0882 eV per atom
Spin magnetization = 0.00 μB/f.u.

***

Compound: Zr12NbBi6
Source: Alexandria
Functional: PBE
Structure: optimized geometry

Structure (extended XYZ):
```
19
Lattice="7.0153 4.0503 2.6776 -7.0153 4.0503 2.6776 0.0000 -8.1006 2.6776" Properties=species:S:1:pos:R:3 pbc="T T T"
Zr -1.8053 -0.0802 1.4542
Zr 0.9722 -1.5233 1.4542
Zr -2.5131 -2.0191 4.0203
Zr 0.8332 1.6036 1.4542
Zr -3.0051 1.1669 4.0126
Zr 0.4920 -3.1860 4.0126
Zr -0.4920 3.1859 4.0203
Zr 3.0051 -1.1669 4.0203
Zr -0.8332 -1.6036 6.5787
Zr 2.5131 2.0191 4.0126
Zr -0.9722 1.5234 6.5787
Zr 1.8053 0.0802 6.5787
Nb 0.0000 0.0000 4.0164
Bi -5.4480 -0.8454 4.1459
Bi -1.9919 -5.1408 3.8870
Bi -3.4562 4.2954 3.8870
Bi 3.4562 -4.2954 4.1459
Bi 1.9919 5.1408 4.1459
Bi 5.4480 0.8454 3.8870
```

Output
ΔH_f (0 K) = -151 meV/atom
DFT total energy = -7.3056 eV per atom
Spin magnetization = 0.00 μB/f.u.

***

Compound: ZrNb2Bi
Source: Alexandria
Functional: PBE
Structure: optimized geometry

Structure (extended XYZ):
```
8
Lattice="-2.0713 2.0713 10.5377 2.0713 -2.0713 10.5377 2.0713 2.0713 -10.5377" Properties=species:S:1:pos:R:3 pbc="T T T"
Zr 0.0000 0.0000 0.0000
Zr 0.0000 2.0713 5.2689
Nb 1.0356 -1.0250 7.9033
Nb 1.0463 1.0356 2.6344
Nb 1.0356 3.0963 -2.6344
Nb 1.0250 1.0356 13.1722
Bi 2.0713 0.0000 5.2689
Bi 0.0000 0.0000 10.5377
```

Output
ΔH_f (0 K) = 445 meV/atom
DFT total energy = -7.6971 eV per atom
Spin magnetization = 0.00 μB/f.u.

***

Compound: ZrNbBi2
Source: Alexandria
Functional: PBE
Structure: optimized geometry

Structure (extended XYZ):
```
4
Lattice="0.0000 3.5844 3.5844 3.5844 0.0000 3.5844 3.5844 3.5844 0.0000" Properties=species:S:1:pos:R:3 pbc="T T T"
Zr 0.0000 0.0000 0.0000
Nb 3.5844 3.5844 3.5844
Bi 1.7922 1.7922 1.7922
Bi 5.3766 5.3766 5.3766
```

Output
ΔH_f (0 K) = 16 meV/atom
DFT total energy = -6.5790 eV per atom
Offset from the most stable computed form = 0.0 kJ/mol of formula units
Spin magnetization = 0.00 μB/f.u.

***

Compound: Zr8NbBi2
Source: Alexandria
Functional: PBE
Structure: optimized geometry

Structure (extended XYZ):
```
11
Lattice="7.1843 -2.6165 0.0000 7.1843 2.6165 0.0000 -4.4790 0.0000 6.7366" Properties=species:S:1:pos:R:3 pbc="T T T"
Zr -0.9109 0.0000 2.3983
Zr 1.4932 0.0000 0.5646
Zr 2.2562 0.0000 3.7148
Zr 4.7637 0.0000 1.7802
Zr 5.1259 0.0000 4.9564
Zr 7.6333 0.0000 3.0219
Zr 8.3963 0.0000 6.1720
Zr 10.8004 0.0000 4.3383
Nb 7.1843 0.0000 0.0000
Bi -0.3366 0.0000 5.3823
Bi 10.2261 0.0000 1.3544
```

Output
ΔH_f (0 K) = -123 meV/atom
DFT total energy = -7.9611 eV per atom
Spin magnetization = 0.00 μB/f.u.

***

Compound: NdBi2
Source: Alexandria
Functional: PBE
Structure: optimized geometry

Structure (extended XYZ):
```
12
Lattice="7.6621 0.0000 0.0000 0.0000 4.5530 0.0000 0.0000 0.0000 11.0267" Properties=species:S:1:pos:R:3 pbc="T T T"
Nd 1.4371 1.1383 1.4724
Nd 2.3940 3.4148 6.9857
Nd 5.2682 1.1383 4.0410
Nd 6.2250 3.4148 9.5543
Bi 0.8813 1.1383 8.9149
Bi 0.9882 1.1383 4.8507
Bi 2.8429 3.4148 10.3640
Bi 2.9498 3.4148 3.4015
Bi 4.7124 1.1383 7.6251
Bi 4.8192 1.1383 0.6627
Bi 6.6740 3.4148 6.1760
Bi 6.7808 3.4148 2.1118
```

Output
ΔH_f (0 K) = -624 meV/atom
DFT total energy = -4.8004 eV per atom
Spin magnetization = 0.00 μB/f.u.

***

Compound: Nd3Bi
Source: Alexandria
Functional: PBE
Structure: optimized geometry

Structure (extended XYZ):
```
4
Lattice="-2.1982 2.1982 8.3545 2.1982 -2.1982 8.3545 2.1982 2.1982 -8.3545" Properties=species:S:1:pos:R:3 pbc="T T T"
Nd 0.0000 0.0000 0.0000
Nd 0.0000 0.0000 5.1917
Nd 0.0000 0.0000 11.5173
Bi 0.0000 0.0000 8.3545
```

Output
ΔH_f (0 K) = -106 meV/atom
DFT total energy = -4.6520 eV per atom
Offset from the most stable computed form = 127.0 kJ/mol of formula units
Spin magnetization = 0.00 μB/f.u.

***

Compound: NdBi2
Source: Alexandria
Functional: PBE
Structure: optimized geometry

Structure (extended XYZ):
```
6
Lattice="0.0000 4.6413 4.6413 4.6413 0.0000 4.6413 4.6413 4.6413 0.0000" Properties=species:S:1:pos:R:3 pbc="T T T"
Nd 1.1603 1.1603 1.1603
Nd 8.1222 8.1222 8.1222
Bi 4.6413 2.3206 2.3206
Bi 2.3206 4.6413 2.3206
Bi 2.3206 2.3206 4.6413
Bi 4.6413 4.6413 4.6413
```

Output
ΔH_f (0 K) = -220 meV/atom
DFT total energy = -4.3961 eV per atom
Spin magnetization = 0.54 μB/f.u.

***

Compound: Nd4Bi
Source: Alexandria
Functional: PBE
Structure: optimized geometry

Structure (extended XYZ):
```
5
Lattice="6.0268 0.0000 0.0000 0.0000 6.0268 0.0000 0.0000 0.0000 6.0268" Properties=species:S:1:pos:R:3 pbc="T T T"
Nd 0.0000 0.0000 0.0000
Nd 0.0000 3.0134 3.0134
Nd 3.0134 0.0000 3.0134
Nd 3.0134 3.0134 0.0000
Bi 3.0134 3.0134 3.0134
```

Output
ΔH_f (0 K) = 204 meV/atom
DFT total energy = -4.3864 eV per atom
Spin magnetization = 0.86 μB/f.u.

***

Compound: Nd3Bi2
Source: Alexandria
Functional: PBE
Structure: optimized geometry

Structure (extended XYZ):
```
10
Lattice="-3.1700 3.1700 8.1788 3.1700 -3.1700 8.1788 3.1700 3.1700 -8.1788" Properties=species:S:1:pos:R:3 pbc="T T T"
Nd 0.0000 0.0000 0.0000
Nd 1.5850 1.5850 -4.0894
Nd 1.5850 -1.5850 4.0894
Nd 3.1700 1.5850 2.0447
Nd 0.0000 3.1700 0.0000
Nd 0.0000 1.5850 6.1341
Bi 3.1700 1.5850 -1.1872
Bi 0.0000 1.5850 2.9022
Bi 3.1700 1.5850 5.2766
Bi 0.0000 1.5850 9.3660
```

Output
ΔH_f (0 K) = -671 meV/atom
DFT total energy = -5.0843 eV per atom
Offset from the most stable computed form = 0.0 kJ/mol of formula units
Spin magnetization = 0.00 μB/f.u.

***

Compound: Nd3Bi
Source: Alexandria
Functional: PBE
Structure: optimized geometry

Structure (extended XYZ):
```
4
Lattice="-2.0495 5.6241 2.8444 2.0495 -5.6241 2.8444 2.0495 5.6241 -2.8444" Properties=species:S:1:pos:R:3 pbc="T T T"
Nd 0.0000 0.0000 0.0000
Nd 2.0495 3.1048 -0.6321
Nd 0.0000 2.5193 2.2123
Bi 0.0000 5.6241 0.1801
```

Output
ΔH_f (0 K) = -378 meV/atom
DFT total energy = -4.9237 eV per atom
Offset from the most stable computed form = 22.2 kJ/mol of formula units
Spin magnetization = 0.00 μB/f.u.